Here is a relaxed ReMoNO2 crystal from Alexandria via LeMat-Bulk. Energies are from PBE with a Hubbard U.

Output
Total magnetization, μB per formula unit: 5.89
Final energy, eV/atom: -7.05

a = 3.894 Å, b = 3.894 Å, c = 4.261 Å
α = 90.00°, β = 90.00°, γ = 90.00°
Positions (direct):
Re 0.000 0.000 0.000
Mo 0.500 0.500 0.500
N 0.500 0.500 0.000
O 0.000 0.500 0.500
O 0.500 0.000 0.500